No. 1
A plane-wave DFT calculation with PBE-GGA was carried out for AcSiHgS4 after structural relaxation.

Computed properties:
mass density	5.35	g cm⁻³
size of the total moment	0.00	μB per formula unit

Structure (CIF):
```
data_AcSiHgS4
_cell_length_a 7.010
_cell_length_b 6.469
_cell_length_c 8.299
_cell_angle_alpha 90.00
_cell_angle_beta 105.70
_cell_angle_gamma 90.00
_symmetry_space_group_name_H-M 'P 1 21/m 1'
_symmetry_Int_Tables_number 11
loop_
_symmetry_equiv_pos_as_xyz
'x,y,z'
'-x,-y,-z'
'-x,y+1/2,-z'
'x,-y+1/2,z'
loop_
_atom_site_label
_atom_site_type_symbol
_atom_site_fract_x
_atom_site_fract_y
_atom_site_fract_z
Ac1 Ac 0.250 0.250 0.068
Si1 Si 0.204 0.750 0.799
Hg1 Hg 0.284 0.250 0.574
S1 S 0.011 0.007 0.762
S2 S 0.379 0.750 0.057
S3 S 0.386 0.750 0.629
```

=====

No. 2
A plane-wave DFT calculation with PBE-GGA was carried out for Ac4HgTe2S after structural relaxation.

Computed properties:
mass density	8.17	g cm⁻³
size of the total moment	0.00	μB per formula unit

Structure (CIF):
```
data_Ac4HgTe2S
_cell_length_a 8.026
_cell_length_b 4.516
_cell_length_c 8.249
_cell_angle_alpha 90.00
_cell_angle_beta 108.38
_cell_angle_gamma 90.00
_symmetry_space_group_name_H-M 'P 1 2/m 1'
_symmetry_Int_Tables_number 10
loop_
_symmetry_equiv_pos_as_xyz
'x,y,z'
'-x,-y,-z'
'-x,y,-z'
'x,-y,z'
loop_
_atom_site_label
_atom_site_type_symbol
_atom_site_fract_x
_atom_site_fract_y
_atom_site_fract_z
Ac1 Ac 0.233 0.000 0.225
Ac2 Ac 0.252 0.500 0.766
Hg1 Hg 0.500 0.000 0.000
Te1 Te 0.000 0.000 0.500
Te2 Te 0.500 0.500 0.500
S1 S 0.000 0.500 0.000
```

=====

No. 3
A plane-wave DFT calculation with PBE-GGA was carried out for AcHgSb after structural relaxation.

Computed properties:
mass density	9.26	g cm⁻³
energy relative to the lowest polymorph listed for this composition	111	meV/atom
size of the total moment	0.00	μB per formula unit

Structure (CIF):
```
data_AcHgSb
_cell_length_a 4.471
_cell_length_b 4.471
_cell_length_c 9.851
_cell_angle_alpha 90.00
_cell_angle_beta 90.00
_cell_angle_gamma 90.00
_symmetry_space_group_name_H-M 'I 4 m m'
_symmetry_Int_Tables_number 107
_symmetry_space_group_name_Hall 'I 4 -2'
loop_
_atom_site_label
_atom_site_type_symbol
_atom_site_fract_x
_atom_site_fract_y
_atom_site_fract_z
Ac1 Ac 0.000 0.000 0.000
Hg1 Hg 0.000 0.000 0.673
Sb1 Sb 0.000 0.000 0.349
```

=====

No. 4
A plane-wave DFT calculation with PBE-GGA was carried out for Ac2HgSb after structural relaxation.

Computed properties:
mass density	8.38	g cm⁻³
energy relative to the lowest polymorph listed for this composition	91	meV/atom
size of the total moment	0.00	μB per formula unit

Structure (CIF):
```
data_Ac2HgSb
_cell_length_a 4.5407
_cell_length_b 4.5407
_cell_length_c 25.8329
_cell_angle_alpha 90.00
_cell_angle_beta 90.00
_cell_angle_gamma 120.00
_symmetry_space_group_name_H-M 'R 3 m'
_symmetry_Int_Tables_number 160
_symmetry_space_group_name_Hall 'R 3 -2"'
loop_
_atom_site_label
_atom_site_type_symbol
_atom_site_fract_x
_atom_site_fract_y
_atom_site_fract_z
Ac1 Ac 0.0000 0.0000 0.0000
Ac2 Ac 0.0000 0.0000 0.1761
Hg1 Hg 0.0000 0.0000 0.7556
Sb1 Sb 0.0000 0.0000 0.5877
```

=====

No. 5
A plane-wave DFT calculation with PBE-GGA was carried out for Ac2HgSb after structural relaxation.

Computed properties:
mass density	9.62	g cm⁻³
energy relative to the lowest polymorph listed for this composition	57	meV/atom
size of the total moment	0.00	μB per formula unit

Structure (CIF):
```
data_Ac2HgSb
_cell_length_a 5.600
_cell_length_b 5.600
_cell_length_c 4.272
_cell_angle_alpha 90.00
_cell_angle_beta 90.00
_cell_angle_gamma 90.00
_symmetry_space_group_name_H-M 'P 4/m m m'
_symmetry_Int_Tables_number 123
_symmetry_space_group_name_Hall '-P 4 2'
loop_
_atom_site_label
_atom_site_type_symbol
_atom_site_fract_x
_atom_site_fract_y
_atom_site_fract_z
Ac1 Ac 0.000 0.500 0.000
Hg1 Hg 0.000 0.000 0.500
Sb1 Sb 0.500 0.500 0.500
```

=====

No. 6
A plane-wave DFT calculation with PBE-GGA was carried out for AcHgSb2 after structural relaxation.

Computed properties:
mass density	8.90	g cm⁻³
energy relative to the lowest polymorph listed for this composition	213	meV/atom
size of the total moment	0.00	μB per formula unit

Structure (CIF):
```
data_AcHgSb2
_cell_length_a 5.2201
_cell_length_b 5.2201
_cell_length_c 15.9116
_cell_angle_alpha 90.00
_cell_angle_beta 90.00
_cell_angle_gamma 120.00
_symmetry_space_group_name_H-M 'R -3 m'
_symmetry_Int_Tables_number 166
_symmetry_space_group_name_Hall '-R 3 2"'
loop_
_atom_site_label
_atom_site_type_symbol
_atom_site_fract_x
_atom_site_fract_y
_atom_site_fract_z
Ac1 Ac 0.0000 0.0000 0.0000
Hg1 Hg 0.0000 0.0000 0.5000
Sb1 Sb 0.0000 0.0000 0.2204
```

=====

No. 7
A plane-wave DFT calculation with PBE-GGA was carried out for Ac2HgSb after structural relaxation.

Computed properties:
mass density	9.59	g cm⁻³
energy relative to the lowest polymorph listed for this composition	130	meV/atom
size of the total moment	0.00	μB per formula unit

Structure (CIF):
```
data_Ac2HgSb
_cell_length_a 8.133
_cell_length_b 8.133
_cell_length_c 8.133
_cell_angle_alpha 90.00
_cell_angle_beta 90.00
_cell_angle_gamma 90.00
_symmetry_space_group_name_H-M 'F m -3 m'
_symmetry_Int_Tables_number 225
_symmetry_space_group_name_Hall '-F 4 2 3'
loop_
_atom_site_label
_atom_site_type_symbol
_atom_site_fract_x
_atom_site_fract_y
_atom_site_fract_z
Ac1 Ac 0.250 0.250 0.250
Hg1 Hg 0.000 0.000 0.000
Sb1 Sb 0.000 0.000 0.500
```

=====

No. 8
A plane-wave DFT calculation with PBE-GGA was carried out for Ac4HgSb3 after structural relaxation.

Computed properties:
mass density	7.87	g cm⁻³
size of the total moment	0.00	μB per formula unit

Structure (CIF):
```
data_Ac4HgSb3
_cell_length_a 6.774
_cell_length_b 6.774
_cell_length_c 6.774
_cell_angle_alpha 90.00
_cell_angle_beta 90.00
_cell_angle_gamma 90.00
_symmetry_space_group_name_H-M 'P m -3 m'
_symmetry_Int_Tables_number 221
_symmetry_space_group_name_Hall '-P 4 2 3'
loop_
_atom_site_label
_atom_site_type_symbol
_atom_site_fract_x
_atom_site_fract_y
_atom_site_fract_z
Ac1 Ac 0.000 0.000 0.000
Ac2 Ac 0.000 0.500 0.500
Hg1 Hg 0.500 0.500 0.500
Sb1 Sb 0.000 0.000 0.500
```

=====

No. 9
A plane-wave DFT calculation with PBE-GGA was carried out for AcHgSb2 after structural relaxation.

Computed properties:
mass density	8.15	g cm⁻³
energy relative to the lowest polymorph listed for this composition	89	meV/atom
size of the total moment	0.00	μB per formula unit

Structure (CIF):
```
data_AcHgSb2
_cell_length_a 4.489
_cell_length_b 4.489
_cell_length_c 6.786
_cell_angle_alpha 90.00
_cell_angle_beta 90.00
_cell_angle_gamma 90.00
_symmetry_space_group_name_H-M 'P 4/m m m'
_symmetry_Int_Tables_number 123
_symmetry_space_group_name_Hall '-P 4 2'
loop_
_atom_site_label
_atom_site_type_symbol
_atom_site_fract_x
_atom_site_fract_y
_atom_site_fract_z
Ac1 Ac 0.000 0.000 0.000
Hg1 Hg 0.000 0.000 0.500
Sb1 Sb 0.500 0.500 0.213
```

=====

No. 10
A plane-wave DFT calculation with PBE-GGA was carried out for AcHgSb2 after structural relaxation.

Computed properties:
mass density	9.37	g cm⁻³
energy relative to the lowest polymorph listed for this composition	0	meV/atom
size of the total moment	0.00	μB per formula unit

Structure (CIF):
```
data_AcHgSb2
_cell_length_a 4.855
_cell_length_b 4.855
_cell_length_c 5.045
_cell_angle_alpha 90.00
_cell_angle_beta 90.00
_cell_angle_gamma 90.00
_symmetry_space_group_name_H-M 'P 4/m m m'
_symmetry_Int_Tables_number 123
_symmetry_space_group_name_Hall '-P 4 2'
loop_
_atom_site_label
_atom_site_type_symbol
_atom_site_fract_x
_atom_site_fract_y
_atom_site_fract_z
Ac1 Ac 0.000 0.000 0.000
Hg1 Hg 0.500 0.500 0.000
Sb1 Sb 0.000 0.500 0.500
```

=====

no.,E_form (uncorrected) (eV per atom),V (Å³/atom)
1,-0.998,25.9
2,-1.332,35.5
3,-0.617,32.8
4,-0.696,38.4
5,-0.731,33.5
6,-0.370,31.3
7,-0.658,33.6
8,-0.939,38.9
9,-0.494,34.2
10,-0.584,29.7